This record from Alexandria via LeMat-Bulk describes a relaxed structure of ZnTcBr2. The functional is GGA-PBE. Values from VASP.

Geometry as Quantum ESPRESSO input:
```
&SYSTEM
  ibrav = 0, nat = 4, ntyp = 3
/
ATOMIC_SPECIES
Zn 65.41 Zn.upf
Tc 98.00 Tc.upf
Br 79.90 Br.upf
CELL_PARAMETERS angstrom
7.880 0.053 -0.001
6.015 5.092 0.001
-6.675 -3.308 2.569
ATOMIC_POSITIONS crystal
Zn 0.250 0.750 0.500
Tc 0.750 0.250 0.500
Br 0.888 0.888 0.000
Br 0.612 0.612 0.000
```

Values from the calculation:
Formation energy (no corrections) = 0.0622 eV per atom
Raw total energy = -3.68 eV per atom